Computed, not measured: crystalline CoMoRhO6 at its relaxed geometry at the GGA+U level of DFT.

Output
For the uncorrected energy, the calculation gives -6.523 eV per atom. The magnetic moment comes out at 0.0 μB per cell. The crystal system is trigonal. Its theoretical density is 6400 kg/m3.

a b c (Å): 4.880 4.880 8.903
angles (deg): 90.00 90.00 120.00
Atoms (fractional coordinates):
Co 0.000 0.000 0.000
Co 0.000 0.000 0.500
Mo 0.333 0.667 0.250
Mo 0.667 0.333 0.750
Rh 0.333 0.667 0.750
Rh 0.667 0.333 0.250
O 0.015 0.333 0.122
O 0.015 0.682 0.378
O 0.318 0.333 0.378
O 0.318 0.985 0.122
O 0.333 0.015 0.622
O 0.333 0.318 0.878
O 0.667 0.682 0.122
O 0.667 0.985 0.378
O 0.682 0.015 0.878
O 0.682 0.667 0.622
O 0.985 0.318 0.622
O 0.985 0.667 0.878